Material: Sc2Cd3Ga
Method: DFT, PBE-GGA
State: optimized geometry

The structure belongs to space group Fmmm (No. 69); the cell edges are 6.492, 9.494 and 16.378 Å and the angles 90.00°, 90.00° and 90.00°. Symmetry generates all atoms from Sc at (0.249, 0.000, 0.000), Sc at (0.250, 0.250, 0.250), Cd at (0.000, 0.000, 0.330), Cd at (0.000, 0.246, 0.085) and Ga at (0.000, 0.000, 0.166).

The value obtained for the formation energy is -0.2960 eV per atom. The magnetization comes out at 0.09 μB/atom.

=====

Material: GdCdNiHg
Method: DFT, PBE-GGA
State: optimized geometry

The structure belongs to space group F-43m (No. 216); the cell edges are 6.946, 6.946 and 6.946 Å and the angles 90.00°, 90.00° and 90.00°. Symmetry generates all atoms from Gd at (0.000, 0.000, 0.000), Cd at (0.000, 0.000, 0.500), Ni at (0.250, 0.250, 0.250) and Hg at (0.250, 0.250, 0.750).

The value obtained for the formation energy is -0.2003 eV per atom. The magnetization comes out at 1.81 μB/atom.

=====

Material: NaHf2CdH
Method: DFT, PBE-GGA
State: optimized geometry

The structure belongs to space group P4/mmm (No. 123); the cell edges are 5.737, 5.737 and 3.417 Å and the angles 90.00°, 90.00° and 90.00°. Symmetry generates all atoms from Na at (0.000, 0.000, 0.000), Hf at (0.000, 0.500, 0.500), Cd at (0.500, 0.500, 0.500) and H at (0.500, 0.500, 0.000).

The calculation puts the raw total energy at -3.934 eV/atom. The magnetization comes out at 0.00 μB/atom.

=====

Material: PmTeO6
Method: DFT, PBE-GGA
State: optimized geometry

The structure belongs to space group R-3m (No. 166, hexagonal axes); the cell edges are 6.9167, 6.9167 and 7.2277 Å and the angles 90.00°, 90.00° and 120.00°. Symmetry generates all atoms from Pm at (0.0000, 0.0000, 0.0000), Te at (0.0000, 0.0000, 0.5000) and O at (0.0831, 0.5415, 0.3377).

The magnetization comes out at 0.36 μB/atom. The energy relative to the elements, uncorrected comes out at -1.181 eV/atom.

=====

> magnetization of number 3 (NaHf2CdH)?

0.00 μB/atom